[1]
TaSn2Ge2: relaxed, GGA-PBE.

Unit cell a=7.9667 b=7.9667 c=7.9667 alpha=151.62 beta=151.62 gamma=40.57
With the nearest neighbours (Å) after each atom.
Fractional positions:
Ge 0.5829 0.5829 0.0000  1 Ge 2.48
Ge 0.4171 0.4171 0.0000  1 Ge 2.48
Ta 0.0000 0.0000 0.0000  8 Ge 3.03
Sn 0.2500 0.7500 0.5000  4 Sn 2.76
Sn 0.7500 0.2500 0.5000  4 Sn 2.76

Computed properties:
symmetry: No. 139
theoretical density: 8209 kg/m3
total magnetization: 0.4 μB per cell
raw total energy: -5.1245 eV per atom



[2]
HoMgAgSeS2: relaxed, GGA-PBE.

Unit cell a=6.7179 b=6.7179 c=10.7282 alpha=90.00 beta=90.00 gamma=147.20
With the nearest neighbours (Å) after each atom.
Fractional positions:
Ho 0.0000 0.0000 0.0000  4 S 2.73
Ho 0.0000 0.0000 0.5000  4 S 2.73
Ag 0.4856 0.5144 0.7500  2 S 2.49, 2 Se 2.64
Ag 0.5144 0.4856 0.2500  2 S 2.49, 2 Se 2.64
S 0.3602 0.6398 0.5737  1 Ag 2.49, 2 Ho 2.73
S 0.6398 0.3602 0.0737  1 Ag 2.49, 2 Ho 2.73
S 0.6398 0.3602 0.4263  1 Ag 2.49, 2 Ho 2.73
S 0.3602 0.6398 0.9263  1 Ag 2.49, 2 Ho 2.73
Mg 0.7831 0.2169 0.7500  2 Se 2.76, 4 S 2.86
Mg 0.2169 0.7831 0.2500  2 Se 2.76, 4 S 2.86
Se 0.8725 0.1275 0.2500  2 Ag 2.64, 2 Mg 2.76
Se 0.1275 0.8725 0.7500  2 Ag 2.64, 2 Mg 2.76

Computed properties:
symmetry: No. 63
theoretical density: 5574 kg/m3
total magnetization: 0.0 μB per cell
raw total energy: -4.5824 eV per atom



[3]
GdCuSnSe3: relaxed, GGA-PBE.

Unit cell a=13.6342 b=4.0399 c=10.9653 alpha=90.00 beta=90.00 gamma=90.00
With the nearest neighbours (Å) after each atom.
Fractional positions:
Se 0.6058 0.2500 0.8875  3 Cu 2.53-2.56
Se 0.3566 0.7500 0.7635  1 Cu 2.50
Se 0.3871 0.2500 0.4382  3 Gd 2.90-2.91, 2 Sn 3.10
Se 0.6129 0.7500 0.5618  3 Gd 2.90-2.91, 2 Sn 3.10
Se 0.1434 0.2500 0.2635  1 Cu 2.50
Se 0.8566 0.7500 0.7365  1 Cu 2.50
Se 0.1058 0.2500 0.6125  3 Cu 2.53-2.56
Se 0.3942 0.7500 0.1125  3 Cu 2.53-2.56
Se 0.8871 0.2500 0.0618  3 Gd 2.90-2.91, 2 Sn 3.10
Se 0.8942 0.7500 0.3875  3 Cu 2.53-2.56
Se 0.6434 0.2500 0.2365  1 Cu 2.50
Se 0.1129 0.7500 0.9382  3 Gd 2.90-2.91, 2 Sn 3.10
Sn 0.7150 0.7500 0.0448  6 Se 3.05-3.10, 1 Cu 3.34
Sn 0.2150 0.7500 0.4552  6 Se 3.05-3.10, 1 Cu 3.34
Sn 0.2850 0.2500 0.9552  6 Se 3.05-3.10, 1 Cu 3.34
Sn 0.7850 0.2500 0.5448  6 Se 3.05-3.10, 1 Cu 3.34
Cu 0.9925 0.7500 0.5834  4 Se 2.50-2.56, 2 Cu 2.73
Cu 0.4925 0.7500 0.9166  4 Se 2.50-2.56, 2 Cu 2.73
Cu 0.0075 0.2500 0.4166  4 Se 2.50-2.56, 2 Cu 2.73
Cu 0.5075 0.2500 0.0834  4 Se 2.50-2.56, 2 Cu 2.73
Gd 0.0118 0.7500 0.1719  6 Se 2.86-2.91
Gd 0.4882 0.2500 0.6719  6 Se 2.86-2.91
Gd 0.5118 0.7500 0.3281  6 Se 2.86-2.91
Gd 0.9882 0.2500 0.8281  6 Se 2.86-2.91

Computed properties:
symmetry: No. 62
distance to the lowest polymorph of the same formula: 0.0138 eV/atom
theoretical density: 6339 kg/m3
total magnetization: 0.0 μB per cell